Below is a relaxed structure of Pa2CoO8, with properties calculated at the PBE with a Hubbard U level.

Results
E_tot = -7.83 eV/atom
M_tot = 5.0 μB per formula unit

Unit cell a=4.8743 b=6.0625 c=6.0625 alpha=113.73 beta=104.33 gamma=104.33
Each line ends with the local moment (μB).
Fractional coordinates of all 11 atoms:
1 Pa 0.5000 0.3076 0.6924  0.00
2 Pa 0.5000 0.6924 0.3076  0.00
3 Co 0.0000 0.0000 0.0000  2.29
4 O 0.3293 0.9088 0.5963  0.19
5 O 0.3293 0.5963 0.9088  0.19
6 O 0.7630 0.6964 0.6964  0.23
7 O 0.0000 0.8235 0.1765  0.53
8 O 0.0000 0.1765 0.8235  0.53
9 O 0.2370 0.3036 0.3036  0.23
10 O 0.6707 0.4037 0.0912  0.19
11 O 0.6707 0.0912 0.4037  0.19